Below is Cd12Hg4Pb after structural relaxation, with properties calculated at the PBE-GGA level.

The structure in POSCAR format:
```
Cd12Hg4Pb
1.0
8.086 0.001 -2.856
-4.045 7.019 -2.865
0.007 0.001 8.586
Hg Cd Pb
4 12 1
direct
0.500 0.500 0.500
0.000 0.000 0.500
0.000 0.500 0.000
0.500 0.000 0.000
0.795 0.147 0.648
0.353 0.499 0.147
0.147 0.648 0.795
0.147 0.352 0.499
0.352 0.205 0.853
0.647 0.501 0.853
0.648 0.795 0.147
0.853 0.648 0.501
0.853 0.352 0.205
0.501 0.853 0.648
0.499 0.147 0.352
0.205 0.853 0.352
0.000 0.000 0.000
```

## Properties
As for the crystal system: trigonal. The total energy comes out at -0.785 eV per atom. The space group is R-3. The value obtained for the magnetic moment is 0.00 μB per cell. The calculation puts the energy of formation from the pure elements at 0.1503 eV per atom.

Below is Na6Tl8Pb after structural relaxation, with properties calculated at the PBE-GGA level.

The structure in POSCAR format:
```
Na6Tl8Pb
1.0
7.815 0.479 2.590
2.014 7.566 2.590
0.586 0.479 8.212
Tl Pb Na
8 1 6
direct
0.243 0.243 0.243
0.854 0.098 0.390
0.390 0.854 0.098
0.098 0.390 0.854
0.757 0.757 0.757
0.146 0.902 0.610
0.610 0.146 0.902
0.902 0.610 0.146
0.000 0.000 0.000
0.596 0.865 0.369
0.369 0.596 0.865
0.865 0.369 0.596
0.135 0.631 0.404
0.631 0.404 0.135
0.404 0.135 0.631
```

## Properties
As for the crystal system: trigonal. The total energy comes out at -2.081 eV per atom. The space group is R-3. The value obtained for the magnetic moment is 0.00 μB per cell. The calculation puts the energy of formation from the pure elements at -0.0447 eV per atom.

Below is Pu2PBr2 after structural relaxation, with properties calculated at the PBE-GGA level.

The structure in POSCAR format:
```
Pu2PBr2
1.0
4.030 0.000 0.745
1.946 3.529 0.745
0.104 0.061 10.705
P Br Pu
1 2 2
direct
0.000 0.000 0.000
0.225 0.225 0.324
0.775 0.775 0.676
0.617 0.617 0.150
0.383 0.383 0.850
```

## Properties
As for the crystal system: trigonal. The total energy comes out at -8.863 eV per atom. The formation energy without anion corrections is -1.38 eV/atom. The space group is R-3m. The value obtained for the magnetic moment is 11.01 μB per cell.